*i*
# Pr4Tl3Zn

Crystalline Pr4Tl3Zn at its relaxed geometry (PBE, Alexandria via LeMat-Bulk).

Volume (Å³/cell): 234
N(E_F) (states/eV per cell): 6.916

```
data_Pr4Tl3Zn
_symmetry_space_group_name_H-M 'P 1'
_symmetry_Int_Tables_number 1
_symmetry_space_group_name_Hall 'P 1'
_cell_length_a 3.784
_cell_length_b 3.784
_cell_length_c 16.319
_cell_angle_alpha 90.00
_cell_angle_beta 90.00
_cell_angle_gamma 90.00
loop_
_atom_site_label
_atom_site_fract_x
_atom_site_fract_y
_atom_site_fract_z
Pr1 0.000 0.000 0.891
Pr2 0.000 0.000 0.109
Pr3 0.000 0.000 0.369
Pr4 0.000 0.000 0.631
Tl1 0.500 0.500 0.238
Tl2 0.500 0.500 0.500
Tl3 0.500 0.500 0.762
Zn1 0.500 0.500 0.000
```

=====

*ii*
# Pr4Tl3Zn

Crystalline Pr4Tl3Zn at its relaxed geometry (PBE, Alexandria via LeMat-Bulk).

Volume (Å³/cell): 247
N(E_F) (states/eV per cell): 10.155

```
data_Pr4Tl3Zn
_symmetry_space_group_name_H-M 'P 1'
_symmetry_Int_Tables_number 1
_symmetry_space_group_name_Hall 'P 1'
_cell_length_a 4.499
_cell_length_b 4.626
_cell_length_c 11.889
_cell_angle_alpha 90.00
_cell_angle_beta 90.00
_cell_angle_gamma 90.00
loop_
_atom_site_label
_atom_site_fract_x
_atom_site_fract_y
_atom_site_fract_z
Pr1 0.500 0.500 0.348
Pr2 0.000 0.500 0.870
Pr3 0.000 0.000 0.138
Pr4 0.500 0.000 0.643
Tl1 0.000 0.500 0.589
Tl2 0.000 0.000 0.414
Tl3 0.500 0.000 0.921
Zn1 0.500 0.500 0.077
```

=====

Ordering by calculated energy gives the sequence *i*, *ii*, with the first entry being the most stable.

=====

*i*
# Pr4TlZn2

Crystalline Pr4TlZn2 at its relaxed geometry (PBE, Alexandria via LeMat-Bulk).

Volume (Å³/cell): 205
N(E_F) (states/eV per cell): 8.069

```
data_Pr4TlZn2
_symmetry_space_group_name_H-M 'P 1'
_symmetry_Int_Tables_number 1
_symmetry_space_group_name_Hall 'P 1'
_cell_length_a 5.292
_cell_length_b 5.292
_cell_length_c 8.997
_cell_angle_alpha 72.89
_cell_angle_beta 72.89
_cell_angle_gamma 60.00
loop_
_atom_site_label
_atom_site_fract_x
_atom_site_fract_y
_atom_site_fract_z
Pr1 0.868 0.868 0.397
Pr2 0.132 0.132 0.603
Pr3 0.615 0.615 0.155
Pr4 0.385 0.385 0.845
Tl1 0.000 0.000 0.000
Zn1 0.746 0.746 0.763
Zn2 0.254 0.254 0.237
```

=====

*ii*
# Pr4TlZn2

Crystalline Pr4TlZn2 at its relaxed geometry (PBE, Alexandria via LeMat-Bulk).

Volume (Å³/cell): 219
N(E_F) (states/eV per cell): 8.162

```
data_Pr4TlZn2
_symmetry_space_group_name_H-M 'P 1'
_symmetry_Int_Tables_number 1
_symmetry_space_group_name_Hall 'P 1'
_cell_length_a 5.209
_cell_length_b 5.209
_cell_length_c 9.782
_cell_angle_alpha 74.56
_cell_angle_beta 74.56
_cell_angle_gamma 60.00
loop_
_atom_site_label
_atom_site_fract_x
_atom_site_fract_y
_atom_site_fract_z
Pr1 0.382 0.382 0.855
Pr2 0.205 0.205 0.386
Pr3 0.795 0.795 0.614
Pr4 0.618 0.618 0.145
Tl1 0.000 0.000 0.000
Zn1 0.098 0.098 0.707
Zn2 0.902 0.902 0.293
```

=====

Ordering by calculated energy gives the sequence *i*, *ii*, with the first entry being the most stable.

=====

*i*
# PrTlZn2

Crystalline PrTlZn2 at its relaxed geometry (PBE, Alexandria via LeMat-Bulk).

Volume (Å³/cell): 94
N(E_F) (states/eV per cell): 2.477

```
data_PrTlZn2
_symmetry_space_group_name_H-M 'P 1'
_symmetry_Int_Tables_number 1
_symmetry_space_group_name_Hall 'P 1'
_cell_length_a 4.246
_cell_length_b 4.710
_cell_length_c 4.710
_cell_angle_alpha 90.00
_cell_angle_beta 90.00
_cell_angle_gamma 90.00
loop_
_atom_site_label
_atom_site_fract_x
_atom_site_fract_y
_atom_site_fract_z
Pr1 0.500 0.500 0.500
Tl1 0.500 0.000 0.000
Zn1 0.000 0.000 0.500
Zn2 0.000 0.500 0.000
```

=====

*ii*
# PrTlZn2

Crystalline PrTlZn2 at its relaxed geometry (PBE, Alexandria via LeMat-Bulk).

Volume (Å³/cell): 91
N(E_F) (states/eV per cell): 1.455

```
data_PrTlZn2
_symmetry_space_group_name_H-M 'P 1'
_symmetry_Int_Tables_number 1
_symmetry_space_group_name_Hall 'P 1'
_cell_length_a 5.054
_cell_length_b 5.054
_cell_length_c 5.054
_cell_angle_alpha 60.00
_cell_angle_beta 60.00
_cell_angle_gamma 60.00
loop_
_atom_site_label
_atom_site_fract_x
_atom_site_fract_y
_atom_site_fract_z
Pr1 0.500 0.500 0.500
Tl1 0.000 0.000 0.000
Zn1 0.250 0.250 0.250
Zn2 0.750 0.750 0.750
```

=====

Ordering by calculated energy gives the sequence *i*, *ii*, with the first entry being the most stable.

=====

*i*
# Pr6TlZn

Crystalline Pr6TlZn at its relaxed geometry (PBE, Alexandria via LeMat-Bulk).

Volume (Å³/cell): 278
N(E_F) (states/eV per cell): 11.754

```
data_Pr6TlZn
_symmetry_space_group_name_H-M 'P 1'
_symmetry_Int_Tables_number 1
_symmetry_space_group_name_Hall 'P 1'
_cell_length_a 7.085
_cell_length_b 7.085
_cell_length_c 7.197
_cell_angle_alpha 103.61
_cell_angle_beta 103.61
_cell_angle_gamma 119.46
loop_
_atom_site_label
_atom_site_fract_x
_atom_site_fract_y
_atom_site_fract_z
Pr1 0.266 0.266 0.741
Pr2 0.487 0.075 0.253
Pr3 0.734 0.734 0.259
Pr4 0.925 0.513 0.747
Pr5 0.513 0.925 0.747
Pr6 0.075 0.487 0.253
Tl1 0.000 0.000 0.000
Zn1 0.500 0.500 0.500
```

=====

*ii*
# Pr6TlZn

Crystalline Pr6TlZn at its relaxed geometry (PBE, Alexandria via LeMat-Bulk).

Volume (Å³/cell): 258
N(E_F) (states/eV per cell): 9.759

```
data_Pr6TlZn
_symmetry_space_group_name_H-M 'P 1'
_symmetry_Int_Tables_number 1
_symmetry_space_group_name_Hall 'P 1'
_cell_length_a 5.309
_cell_length_b 5.309
_cell_length_c 9.906
_cell_angle_alpha 74.46
_cell_angle_beta 74.46
_cell_angle_gamma 89.98
loop_
_atom_site_label
_atom_site_fract_x
_atom_site_fract_y
_atom_site_fract_z
Pr1 0.749 0.749 0.501
Pr2 0.609 0.109 0.782
Pr3 0.109 0.609 0.782
Pr4 0.391 0.891 0.218
Pr5 0.251 0.251 0.499
Pr6 0.891 0.391 0.218
Tl1 0.500 0.500 0.000
Zn1 0.000 0.000 0.000
```

=====

Ordering by calculated energy gives the sequence *ii*, *i*, with the first entry being the most stable.

=====

*i*
# Pr2Tm5

Crystalline Pr2Tm5 at its relaxed geometry (PBE, Alexandria via LeMat-Bulk).

Volume (Å³/cell): 222
N(E_F) (states/eV per cell): 9.672

```
data_Pr2Tm5
_symmetry_space_group_name_H-M 'P 1'
_symmetry_Int_Tables_number 1
_symmetry_space_group_name_Hall 'P 1'
_cell_length_a 5.030
_cell_length_b 6.135
_cell_length_c 7.965
_cell_angle_alpha 97.53
_cell_angle_beta 90.00
_cell_angle_gamma 114.20
loop_
_atom_site_label
_atom_site_fract_x
_atom_site_fract_y
_atom_site_fract_z
Pr1 0.072 0.144 0.217
Pr2 0.928 0.856 0.783
Tm1 0.356 0.713 0.072
Tm2 0.644 0.287 0.928
Tm3 0.214 0.427 0.643
Tm4 0.500 0.000 0.500
Tm5 0.786 0.573 0.357
```

=====

*ii*
# Pr2Tm5

Crystalline Pr2Tm5 at its relaxed geometry (PBE, Alexandria via LeMat-Bulk).

Volume (Å³/cell): 450
N(E_F) (states/eV per cell): 22.481

```
data_Pr2Tm5
_symmetry_space_group_name_H-M 'P 1'
_symmetry_Int_Tables_number 1
_symmetry_space_group_name_Hall 'P 1'
_cell_length_a 6.264
_cell_length_b 9.196
_cell_length_c 8.459
_cell_angle_alpha 95.56
_cell_angle_beta 111.73
_cell_angle_gamma 90.00
loop_
_atom_site_label
_atom_site_fract_x
_atom_site_fract_y
_atom_site_fract_z
Pr1 0.258 0.392 0.853
Pr2 0.405 0.108 0.147
Pr3 0.742 0.608 0.147
Pr4 0.595 0.892 0.853
Tm1 0.310 0.466 0.292
Tm2 0.018 0.034 0.708
Tm3 0.118 0.679 0.572
Tm4 0.547 0.821 0.428
Tm5 0.882 0.321 0.428
Tm6 0.453 0.179 0.572
Tm7 0.982 0.966 0.292
Tm8 0.690 0.534 0.708
Tm9 0.835 0.250 0.000
Tm10 0.165 0.750 0.000
```

=====

Ordering by calculated energy gives the sequence *ii*, *i*, with the first entry being the most stable.

=====

*i*
# Pr4Tm3

Crystalline Pr4Tm3 at its relaxed geometry (PBE, Alexandria via LeMat-Bulk).

Volume (Å³/cell): 235
N(E_F) (states/eV per cell): 12.536

```
data_Pr4Tm3
_symmetry_space_group_name_H-M 'P 1'
_symmetry_Int_Tables_number 1
_symmetry_space_group_name_Hall 'P 1'
_cell_length_a 5.935
_cell_length_b 9.152
_cell_length_c 5.659
_cell_angle_alpha 111.80
_cell_angle_beta 121.63
_cell_angle_gamma 90.00
loop_
_atom_site_label
_atom_site_fract_x
_atom_site_fract_y
_atom_site_fract_z
Pr1 0.863 0.585 0.727
Pr2 0.137 0.415 0.273
Pr3 0.713 0.138 0.426
Pr4 0.287 0.862 0.574
Tm1 0.000 0.000 0.000
Tm2 0.567 0.710 0.134
Tm3 0.433 0.290 0.866
```

=====

*ii*
# Pr4Tm3

Crystalline Pr4Tm3 at its relaxed geometry (PBE, Alexandria via LeMat-Bulk).

Volume (Å³/cell): 238
N(E_F) (states/eV per cell): 11.934

```
data_Pr4Tm3
_symmetry_space_group_name_H-M 'P 1'
_symmetry_Int_Tables_number 1
_symmetry_space_group_name_Hall 'P 1'
_cell_length_a 3.524
_cell_length_b 8.855
_cell_length_c 9.266
_cell_angle_alpha 122.35
_cell_angle_beta 100.96
_cell_angle_gamma 90.00
loop_
_atom_site_label
_atom_site_fract_x
_atom_site_fract_y
_atom_site_fract_z
Pr1 0.081 0.454 0.161
Pr2 0.919 0.546 0.839
Pr3 0.360 0.127 0.721
Pr4 0.640 0.873 0.279
Tm1 0.000 0.000 0.000
Tm2 0.220 0.298 0.440
Tm3 0.780 0.702 0.560
```

=====

Ordering by calculated energy gives the sequence *i*, *ii*, with the first entry being the most stable.